[1]
Computed, not measured: an optimized crystal structure of NaTbSnPb at the PBE-GGA level of DFT.

Calculated values
**DOS(E_F)**: 0.63 states/eV/atom
**DFT formation energy**: -292 meV/atom
**Total magnetization**: 0.00 μB/f.u.
**V**: 111.0 Å³/cell
**Space group**: F-43m
**Electronic total energy**: -3.71 eV/atom

Cell: 5.394 5.394 5.394 Å, 60.00 60.00 60.00°
Atoms (fractional coordinates):
Sn  0.250  0.250  0.250
Tb  0.000  0.000  0.000
Na  0.500  0.500  0.500
Pb  0.750  0.750  0.750


[2]
Computed, not measured: an optimized crystal structure of NaSnTe3Pb at the PBE-GGA level of DFT.

Calculated values
**DOS(E_F)**: 0.30 states/eV/atom
**Formation energy without anion corrections**: -2.1 eV per formula unit
**Total magnetization**: 0.00 μB/f.u.
**V**: 408.9 Å³/cell
**Space group**: P2_1/m
**Electronic total energy**: -3.43 eV/atom

Cell: 4.259 9.227 10.721 Å, 103.94 90.00 90.00°
Atoms (fractional coordinates):
Na  0.750  0.893  0.381
Na  0.250  0.107  0.619
Te  0.750  0.463  0.179
Te  0.250  0.095  0.907
Te  0.250  0.747  0.521
Te  0.250  0.537  0.821
Te  0.750  0.905  0.093
Te  0.750  0.253  0.479
Sn  0.250  0.677  0.096
Sn  0.750  0.323  0.904
Pb  0.250  0.214  0.265
Pb  0.750  0.786  0.735


[3]
Computed, not measured: an optimized crystal structure of NaTlSn2Pb at the PBE-GGA level of DFT.

Calculated values
**DOS(E_F)**: 0.41 states/eV/atom
**DFT formation energy**: -18 meV/atom
**Total magnetization**: 0.00 μB/f.u.
**V**: 304.9 Å³/cell
**Space group**: Cmcm
**Electronic total energy**: -3.10 eV/atom

Cell: 4.396 6.151 12.073 Å, 90.00 90.00 110.94°
Atoms (fractional coordinates):
Pb  0.500  0.000  0.500
Pb  0.500  0.000  0.000
Na  0.104  0.208  0.750
Na  0.896  0.792  0.250
Tl  0.389  0.777  0.750
Tl  0.611  0.223  0.250
Sn  0.218  0.435  0.418
Sn  0.218  0.435  0.082
Sn  0.782  0.565  0.918
Sn  0.782  0.565  0.582


[4]
Computed, not measured: an optimized crystal structure of Na2Tl4SnPb at the PBE-GGA level of DFT.

Calculated values
**DOS(E_F)**: 0.41 states/eV/atom
**DFT formation energy**: -90 meV/atom
**Total magnetization**: 0.00 μB/f.u.
**V**: 230.3 Å³/cell
**Space group**: P2/m
**Electronic total energy**: -2.57 eV/atom

Cell: 5.051 5.069 10.287 Å, 60.99 90.00 90.00°
Atoms (fractional coordinates):
Sn  0.500  0.500  0.000
Na  0.000  0.000  0.000
Na  0.500  0.000  0.500
Tl  0.500  0.756  0.244
Tl  0.000  0.254  0.245
Tl  0.000  0.746  0.755
Tl  0.500  0.244  0.756
Pb  0.000  0.500  0.500


[5]
Computed, not measured: an optimized crystal structure of Na2Tl6SnPb at the PBE-GGA level of DFT.

Calculated values
**DOS(E_F)**: 0.50 states/eV/atom
**DFT formation energy**: 3 meV/atom
**Total magnetization**: 0.00 μB/f.u.
**V**: 606.3 Å³/cell
**Space group**: P2_1/c
**Electronic total energy**: -2.45 eV/atom

Cell: 8.652 8.302 8.442 Å, 90.00 90.66 90.00°
Atoms (fractional coordinates):
Na  0.413  0.694  0.745
Na  0.587  0.306  0.255
Na  0.913  0.806  0.245
Na  0.087  0.194  0.755
Tl  0.860  0.143  0.053
Tl  0.704  0.352  0.750
Tl  0.360  0.357  0.553
Tl  0.796  0.852  0.750
Tl  0.354  0.370  0.954
Tl  0.296  0.648  0.250
Tl  0.646  0.630  0.046
Tl  0.854  0.130  0.454
Tl  0.640  0.643  0.447
Tl  0.146  0.870  0.546
Tl  0.140  0.857  0.947
Tl  0.204  0.148  0.250
Sn  0.500  0.000  0.500
Sn  0.000  0.500  0.000
Pb  0.000  0.500  0.500
Pb  0.500  0.000  0.000


[6]
Computed, not measured: an optimized crystal structure of Na2Tl5SnPb at the PBE-GGA level of DFT.

Calculated values
**DOS(E_F)**: 0.46 states/eV/atom
**DFT formation energy**: 36 meV/atom
**Total magnetization**: 0.00 μB/f.u.
**V**: 549.8 Å³/cell
**Space group**: I4/mcm
**Electronic total energy**: -2.43 eV/atom

Cell: 8.231 8.231 9.986 Å, 114.34 114.34 90.00°
Atoms (fractional coordinates):
Na  0.122  0.378  0.000
Na  0.622  0.122  0.000
Na  0.878  0.622  0.000
Na  0.378  0.878  0.000
Tl  0.572  0.643  0.715
Tl  0.428  0.357  0.285
Tl  0.072  0.572  0.715
Tl  0.500  0.500  0.000
Tl  0.000  0.000  0.000
Tl  0.928  0.428  0.285
Tl  0.357  0.857  0.285
Tl  0.643  0.143  0.715
Tl  0.857  0.928  0.285
Tl  0.143  0.072  0.715
Sn  0.750  0.250  0.500
Sn  0.250  0.750  0.500
Pb  0.750  0.750  0.500
Pb  0.250  0.250  0.500